Entry from the Open Quantum Materials Database: CsYFeS3 after structural relaxation (PBE-GGA).

Cell lengths 9.149, 9.149, 9.367 Å; angles 100.61, 100.61, 25.35 degrees
Fractional coordinates of all 12 atoms:
Cs1 0.000 0.000 0.000
Cs2 0.690 0.690 0.818
Y1 0.696 0.696 0.365
Y2 0.976 0.976 0.482
Fe1 0.332 0.332 0.136
Fe2 0.367 0.367 0.678
S1 0.129 0.129 0.489
S2 0.208 0.208 0.169
S3 0.343 0.343 0.906
S4 0.449 0.449 0.280
S5 0.496 0.496 0.685
S6 0.827 0.827 0.550

The space-group type is Cm, No. 8. Its energy is -70.5 eV/cell.